No. 1
Here is Rb3BaLi after structural relaxation from the Alexandria database. Energies are from PBE-GGA.

a b c (Å): 7.2285 7.2285 7.2285
angles (deg): 90.00 90.00 90.00
Atoms (fractional coordinates):
Rb  0.0000  0.0000  0.5000
Rb  0.0000  0.5000  0.0000
Rb  0.5000  0.0000  0.0000
Ba  0.5000  0.5000  0.5000
Li  0.0000  0.0000  0.0000

Results
* symmetry: Pm-3m, No. 221
* energy relative to the elements: 263 meV/atom

***

No. 2
Here is RbBaLi4 after structural relaxation from the Alexandria database. Energies are from PBE-GGA.

a b c (Å): 6.7646 6.7646 6.7646
angles (deg): 60.00 60.00 60.00
Atoms (fractional coordinates):
Rb  0.0000  0.0000  0.0000
Ba  0.7500  0.7500  0.7500
Li  0.3751  0.3751  0.3751
Li  0.3751  0.3751  0.8746
Li  0.3751  0.8746  0.3751
Li  0.8746  0.3751  0.3751

Results
* symmetry: F-43m, No. 216
* energy relative to the elements: 123 meV/atom

***

No. 3
Here is RbBa2Li after structural relaxation from the Alexandria database. Energies are from PBE-GGA.

a b c (Å): 14.3771 14.3771 14.3771
angles (deg): 17.81 17.81 17.81
Atoms (fractional coordinates):
Rb  0.0000  0.0000  0.0000
Ba  0.1034  0.1034  0.1034
Ba  0.8966  0.8966  0.8966
Li  0.5000  0.5000  0.5000

Results
* symmetry: R-3m, No. 166
* energy relative to the elements: 188 meV/atom

***

No. 4
Here is RbBa2Li2 after structural relaxation from the Alexandria database. Energies are from PBE-GGA.

a b c (Å): 10.1911 10.1911 4.8809
angles (deg): 90.00 90.00 90.00
Atoms (fractional coordinates):
Rb  0.0000  0.0000  0.0000
Rb  0.5000  0.5000  0.0000
Ba  0.1629  0.3371  0.5000
Ba  0.3371  0.8371  0.5000
Ba  0.6629  0.1629  0.5000
Ba  0.8371  0.6629  0.5000
Li  0.1181  0.6181  0.0000
Li  0.3819  0.1181  0.0000
Li  0.6181  0.8819  0.0000
Li  0.8819  0.3819  0.0000

Results
* symmetry: P4/mbm, No. 127
* energy relative to the elements: 101 meV/atom